Entry from Alexandria via LeMat-Bulk: BeAlP2 after structural relaxation (GGA-PBE).

a b c (Å): 5.550 5.550 5.550
angles (deg): 144.46 144.46 51.14
Fractional coordinates of all 4 atoms:
P 0.000 0.000 0.000
P 0.250 0.750 0.500
Be 0.750 0.250 0.500
Al 0.500 0.500 0.000

space group: No. 119
distance to the lowest polymorph of the same formula: 0.540 eV/atom